[1]
Ba6Hg2HN GGA-PBE optimized geometry; calculated total energy = -0.2045 Ry/atom; crystal system = monoclinic; calculated volume = 360.1 Å³/cell; symmetry = C2/m (12)
1.0
6.8441 -4.0385 0.0000
6.8441 4.0385 0.0000
-4.7297 0.0000 6.5138
Ba Hg H N
6 2 1 1
Direct
0.1958 0.7145 0.7177
0.2400 0.2400 0.1559
0.2855 0.8042 0.2823
0.7145 0.1958 0.7177
0.7600 0.7600 0.8441
0.8042 0.2855 0.2823
0.2511 0.2511 0.7371
0.7489 0.7489 0.2629
0.5000 0.5000 0.5000
0.0000 0.0000 0.0000

---

[2]
BaNa2HgH GGA-PBE optimized geometry; calculated total energy = -0.1373 Ry/atom; crystal system = tetragonal; calculated volume = 137.8 Å³/cell; symmetry = P4/mmm (123)
1.0
4.9777 0.0000 0.0000
0.0000 4.9777 0.0000
0.0000 0.0000 5.5604
Ba Na Hg H
1 2 1 1
Direct
0.0000 0.0000 0.0000
0.0000 0.5000 0.5000
0.5000 0.0000 0.5000
0.5000 0.5000 0.0000
0.0000 0.0000 0.5000

---

[3]
Ba2NiHg2H4 GGA-PBE optimized geometry; calculated total energy = -0.2087 Ry/atom; crystal system = tetragonal; calculated volume = 174.5 Å³/cell; symmetry = I4/mmm (139)
1.0
-3.2629 3.2629 4.0979
3.2629 -3.2629 4.0979
3.2629 3.2629 -4.0979
Ba Ni Hg H
2 1 2 4
Direct
0.2500 0.7500 0.5000
0.7500 0.2500 0.5000
0.0000 0.0000 0.0000
0.3302 0.3302 0.0000
0.6698 0.6698 0.0000
0.1752 0.1752 0.3504
0.1752 0.8248 0.0000
0.8248 0.1752 0.0000
0.8248 0.8248 0.6496

---

[4]
Ba2NiHgH6 GGA-PBE optimized geometry; calculated total energy = -0.2459 Ry/atom; crystal system = orthorhombic; calculated volume = 139.9 Å³/cell; symmetry = Immm (71)
1.0
-2.9097 2.9230 4.1119
2.9097 -2.9230 4.1119
2.9097 2.9230 -4.1119
Ba Ni Hg H
2 1 1 6
Direct
0.2504 0.2504 0.0000
0.7496 0.7496 0.0000
0.5000 0.0000 0.5000
0.0000 0.5000 0.5000
0.3027 0.8027 0.5000
0.3042 0.1976 0.5018
0.3042 0.8024 0.1065
0.6958 0.1976 0.8935
0.6958 0.8024 0.4982
0.6973 0.1973 0.5000